VASP calculation (GGA-PBE) on a relaxed structure of ZrTaHg2.

The structure belongs to space group C2/m (No. 12); the cell edges are 10.254, 3.092 and 5.345 Å and the angles 90.00°, 100.32° and 90.00°. Symmetry generates all atoms from Zr at (0.000, 0.000, 0.000), Ta at (0.000, 0.500, 0.500) and Hg at (0.247, 0.000, 0.744).

For the volume, the calculation gives 20.84 Å³ per atom. The value obtained for the formation energy is 199 meV/atom. Its density of states at the Fermi level is 3.37 states/eV/f.u. As for the energy above the most stable polymorph in this dataset: 95.1 meV/atom.

---

VASP calculation (GGA-PBE) on a relaxed structure of ZrTaHg2.

The structure belongs to space group P4/mmm (No. 123); the cell edges are 4.349, 4.349 and 4.285 Å and the angles 90.00°, 90.00° and 90.00°. Symmetry generates all atoms from Zr at (0.000, 0.000, 0.000), Ta at (0.500, 0.500, 0.000) and Hg at (0.000, 0.500, 0.500).

For the volume, the calculation gives 20.26 Å³ per atom. The value obtained for the formation energy is 134 meV/atom. Its density of states at the Fermi level is 2.91 states/eV/f.u. As for the energy above the most stable polymorph in this dataset: 30.2 meV/atom.

---

VASP calculation (GGA-PBE) on a relaxed structure of ZrTa3Hg.

The structure belongs to space group Pm-3m (No. 221); the cell edges are 5.017, 5.017 and 5.017 Å and the angles 90.00°, 90.00° and 90.00°. Symmetry generates all atoms from Zr at (0.000, 0.000, 0.000), Ta at (0.000, 0.500, 0.500) and Hg at (0.500, 0.500, 0.500).

For the volume, the calculation gives 25.25 Å³ per atom. The value obtained for the formation energy is 1947 meV/atom. Its density of states at the Fermi level is 10.53 states/eV/f.u. As for the energy above the most stable polymorph in this dataset: 53.8 meV/atom.

---

What is the formula in the second record?
ZrTaHg2

---

What is the volume in the second record?
20.26 Å³ per atom

---

Among the records above, which one has the lowest volume?
number 2

---

What is the energy above the most stable polymorph in this dataset in the first record?
95.1 meV/atom